Here is a geometry-optimized NbSn2Au structure from Alexandria. Energies are from PBE.

Geometry as POSCAR:
```
NbSn2Au
1.0
3.212 0.000 0.000
1.606 2.782 0.000
1.606 0.927 9.980
Nb Au Sn
1 1 2
direct
0.500 0.500 0.500
0.000 0.000 0.000
0.911 0.911 0.267
0.089 0.089 0.733
```

Calculated total energy = -5.306 eV per atom
Density of states at the Fermi level = 1.54 states/eV/f.u.
Calculated formation energy = 0.03 eV/atom
Excess energy over the best structure of this formula in the dataset = 24 meV/atom
Calculated density = 9.8 g/cm3
Total moment = 0.00 Bohr magnetons per cell